Density functional theory data (PBE) for NaRhIN2 after structural relaxation.

Properties
raw formation energy	2.147	eV/atom
offset from the most stable computed form	699	kJ/mol of formula units
symmetry	No. 123

a = 4.3002 Å, b = 4.3002 Å, c = 6.1869 Å
α = 90.00°, β = 90.00°, γ = 90.00°
Closest atoms and distances in Å follow each position.
Atoms (fractional coordinates):
I  0.0000  0.0000  0.5000  4 Rh 3.04, 2 Na 3.09
Na  0.0000  0.0000  0.0000  4 N 2.15
Rh  0.5000  0.5000  0.5000  4 I 3.04
N  0.0000  0.5000  0.0000  2 Na 2.15
N  0.5000  0.0000  0.0000  2 Na 2.15